Record 1
Here is crystalline CrP2I at its relaxed geometry from the Alexandria database. Energies are from PBE.

Unit cell a=4.5390 b=4.5390 c=4.5390 alpha=60.00 beta=60.00 gamma=60.00
Closest atoms and distances in Å follow each position.
Atoms (fractional coordinates):
I 0.5000 0.5000 0.5000  8 P 2.78
Cr 0.0000 0.0000 0.0000  8 P 2.78
P 0.2500 0.2500 0.2500  4 I 2.78, 4 Cr 2.78
P 0.7500 0.7500 0.7500  4 Cr 2.78, 4 I 2.78

Summary:
The energy above the most stable polymorph in this dataset is 722 meV per atom. The space-group type is No. 225. The total magnetization is 0.00 μB/f.u. The value obtained for the total DFT energy (no corrections) is -4.321 eV/atom. The calculation puts the uncorrected formation energy at 1.177 eV per atom.



Record 2
Here is crystalline PrHoTm2 at its relaxed geometry from the Alexandria database. Energies are from PBE.

Unit cell a=7.2709 b=6.2266 c=12.9470 alpha=118.75 beta=90.00 gamma=90.00
Closest atoms and distances in Å follow each position.
Atoms (fractional coordinates):
Pr 0.5008 0.0472 0.3750  6 Tm 3.54-3.66, 4 Ho 3.54-3.66, 2 Pr 3.56
Pr 0.4992 0.9528 0.6250  6 Tm 3.54-3.66, 4 Ho 3.54-3.66, 2 Pr 3.56
Pr 0.5008 0.4528 0.1250  6 Tm 3.54-3.66, 4 Ho 3.54-3.66, 2 Pr 3.56
Pr 0.4992 0.5472 0.8750  6 Tm 3.54-3.66, 4 Ho 3.54-3.66, 2 Pr 3.56
Ho 0.2433 0.4580 0.6242  7 Tm 3.49-3.73, 1 Ho 3.53, 4 Pr 3.54-3.66
Ho 0.7567 0.5420 0.3758  7 Tm 3.49-3.73, 1 Ho 3.53, 4 Pr 3.54-3.66
Ho 0.2433 0.0420 0.8758  7 Tm 3.49-3.73, 1 Ho 3.53, 4 Pr 3.54-3.66
Ho 0.7567 0.9580 0.1242  7 Tm 3.49-3.73, 1 Ho 3.53, 4 Pr 3.54-3.66
Tm 0.7570 0.0422 0.8743  5 Tm 3.49-3.58, 3 Ho 3.52-3.73, 4 Pr 3.54-3.66
Tm 0.2430 0.9578 0.1257  5 Tm 3.49-3.58, 3 Ho 3.52-3.73, 4 Pr 3.54-3.66
Tm 0.7570 0.4578 0.6257  5 Tm 3.49-3.58, 3 Ho 3.52-3.73, 4 Pr 3.54-3.66
Tm 0.2430 0.5422 0.3743  5 Tm 3.49-3.58, 3 Ho 3.52-3.73, 4 Pr 3.54-3.66
Tm 0.9997 0.4576 0.1250  6 Tm 3.49-3.58, 4 Ho 3.49-3.59, 2 Pr 3.63-3.64
Tm 0.0003 0.5424 0.8750  6 Tm 3.49-3.58, 4 Ho 3.49-3.59, 2 Pr 3.63-3.64
Tm 0.9997 0.0424 0.3750  6 Tm 3.49-3.58, 4 Ho 3.49-3.59, 2 Pr 3.63-3.64
Tm 0.0003 0.9576 0.6250  6 Tm 3.49-3.58, 4 Ho 3.49-3.59, 2 Pr 3.63-3.64

Summary:
The energy above the most stable polymorph in this dataset is 0 meV per atom. The space-group type is No. 13. The value obtained for the formation energy is 17.9 meV/atom. The total magnetization is 0.00 μB/f.u. The value obtained for the total DFT energy (no corrections) is -4.557 eV/atom.



Record 3
Here is crystalline LiPmZn2Pd4 at its relaxed geometry from the Alexandria database. Energies are from PBE.

Unit cell a=4.3765 b=4.3765 c=8.4741 alpha=75.04 beta=75.04 gamma=60.00
Closest atoms and distances in Å follow each position.
Atoms (fractional coordinates):
Li 0.5000 0.5000 0.5000  8 Pd 2.45-2.69
Pm 0.0000 0.0000 0.0000  8 Pd 2.99-3.11
Zn 0.7617 0.7617 0.7149  7 Pd 2.63-2.67
Zn 0.2383 0.2383 0.2851  7 Pd 2.63-2.67
Pd 0.3990 0.3990 0.8029  1 Li 2.45, 3 Zn 2.63
Pd 0.8717 0.8717 0.3848  4 Zn 2.65-2.67, 3 Li 2.69, 3 Pd 2.95
Pd 0.1283 0.1283 0.6152  4 Zn 2.65-2.67, 3 Li 2.69, 3 Pd 2.95
Pd 0.6010 0.6010 0.1971  1 Li 2.45, 3 Zn 2.63

Summary:
The space-group type is No. 166. The value obtained for the formation energy is -622.0 meV/atom. The total magnetization is 0.00 μB/f.u. The value obtained for the total DFT energy (no corrections) is -4.370 eV/atom.



Record 4
Here is crystalline MoOsPt at its relaxed geometry from the Alexandria database. Energies are from PBE.

Unit cell a=4.2324 b=4.2324 c=4.2324 alpha=60.00 beta=60.00 gamma=60.00
Closest atoms and distances in Å follow each position.
Atoms (fractional coordinates):
Mo 0.7500 0.7500 0.7500  4 Pt 2.59, 4 Os 2.59
Os 0.0000 0.0000 0.0000  4 Mo 2.59
Pt 0.5000 0.5000 0.5000  4 Mo 2.59

Summary:
The energy above the most stable polymorph in this dataset is 592 meV per atom. The space-group type is No. 216. The value obtained for the formation energy is 386.2 meV/atom. The total magnetization is 0.00 μB/f.u. The value obtained for the total DFT energy (no corrections) is -8.981 eV/atom.



Record 5
Here is crystalline Mn2FeCu at its relaxed geometry from the Alexandria database. Energies are from PBE.

Unit cell a=8.4805 b=8.4805 c=8.4805 alpha=16.88 beta=16.88 gamma=16.88
Closest atoms and distances in Å follow each position.
Atoms (fractional coordinates):
Cu 0.5001 0.5001 0.5001  6 Cu 2.49, 3 Fe 2.59, 3 Mn 2.61
Fe 0.7474 0.7474 0.7474  6 Fe 2.49, 3 Mn 2.51, 3 Cu 2.59
Mn 0.9986 0.9986 0.9986  9 Mn 2.43-2.49, 3 Fe 2.51
Mn 0.2539 0.2539 0.2539  9 Mn 2.43-2.49, 3 Cu 2.61

Summary:
The energy above the most stable polymorph in this dataset is 33 meV per atom. The space-group type is No. 160. The value obtained for the formation energy is 142.0 meV/atom. The total magnetization is 2.06 μB/f.u. The value obtained for the total DFT energy (no corrections) is -7.583 eV/atom.



Record 6
Here is crystalline La6Ge2Cl at its relaxed geometry from the Alexandria database. Energies are from PBE.

Unit cell a=6.9068 b=8.1506 c=9.9667 alpha=90.00 beta=90.88 gamma=90.00
Closest atoms and distances in Å follow each position.
Atoms (fractional coordinates):
La 0.1544 0.0308 0.2316  1 Cl 2.91, 2 Ge 3.14-3.15
La 0.1421 0.3273 0.5668  1 Cl 2.92, 2 Ge 3.13-3.14
La 0.1335 0.3238 0.9396  1 Cl 2.96, 2 Ge 3.17-3.24
La 0.3665 0.8238 0.5604  1 Cl 2.96, 2 Ge 3.17-3.24
La 0.3579 0.8273 0.9332  1 Cl 2.92, 2 Ge 3.13-3.14
La 0.3456 0.5308 0.2684  1 Cl 2.91, 2 Ge 3.14-3.15
La 0.8456 0.9692 0.7684  1 Cl 2.91, 2 Ge 3.14-3.15
La 0.8579 0.6727 0.4332  1 Cl 2.92, 2 Ge 3.13-3.14
La 0.8665 0.6762 0.0604  1 Cl 2.96, 2 Ge 3.17-3.24
La 0.6335 0.1762 0.4396  1 Cl 2.96, 2 Ge 3.17-3.24
La 0.6421 0.1727 0.0668  1 Cl 2.92, 2 Ge 3.13-3.14
La 0.6544 0.4692 0.7316  1 Cl 2.91, 2 Ge 3.14-3.15
Ge 0.0654 0.6320 0.7505  8 La 3.13-3.47
Ge 0.4346 0.1320 0.7495  8 La 3.13-3.47
Ge 0.5654 0.8680 0.2505  8 La 3.13-3.47
Ge 0.9346 0.3680 0.2495  8 La 3.13-3.47
Cl 0.5000 0.5000 0.0000  6 La 2.91-2.96
Cl 0.0000 0.0000 0.5000  6 La 2.91-2.96

Summary:
The space-group type is No. 14. The total magnetization is 1.23 μB/f.u. The value obtained for the total DFT energy (no corrections) is -5.275 eV/atom. The calculation puts the uncorrected formation energy at -0.758 eV per atom.



Record 7
Here is crystalline Li3Tl2BRh3 at its relaxed geometry from the Alexandria database. Energies are from PBE.

Unit cell a=2.9916 b=7.1563 c=7.1563 alpha=120.00 beta=90.00 gamma=90.00
Closest atoms and distances in Å follow each position.
Atoms (fractional coordinates):
Li 0.0000 0.0000 0.3490  1 B 2.50, 4 Rh 2.66, 4 Tl 2.77
Li 0.0000 0.6510 0.6510  1 B 2.50, 4 Rh 2.66, 4 Tl 2.77
Li 0.0000 0.3490 0.0000  1 B 2.50, 4 Rh 2.66, 4 Tl 2.77
Tl 0.5000 0.3333 0.6667  6 Li 2.77, 3 Rh 2.84, 2 Tl 2.99
Tl 0.5000 0.6667 0.3333  6 Li 2.77, 3 Rh 2.84, 2 Tl 2.99
B 0.0000 0.0000 0.0000  6 Rh 2.21
Rh 0.5000 0.7728 0.0000  2 B 2.21
Rh 0.5000 0.2272 0.2272  2 B 2.21
Rh 0.5000 0.0000 0.7728  2 B 2.21

Summary:
The space-group type is No. 189. The value obtained for the formation energy is -289.4 meV/atom. The total magnetization is 0.00 μB/f.u. The value obtained for the total DFT energy (no corrections) is -4.646 eV/atom.



Record 8
Here is crystalline CaIn4Fe at its relaxed geometry from the Alexandria database. Energies are from PBE.

Unit cell a=5.9726 b=5.9726 c=5.9726 alpha=60.00 beta=60.00 gamma=60.00
Closest atoms and distances in Å follow each position.
Atoms (fractional coordinates):
Ca 0.7500 0.7500 0.7500  12 In 3.50, 4 Fe 3.66
In 0.3747 0.8758 0.3747  6 In 2.98-2.99
In 0.8758 0.3747 0.3747  6 In 2.98-2.99
In 0.3747 0.3747 0.8758  6 In 2.98-2.99
In 0.3747 0.3747 0.3747  6 In 2.98-2.99
Fe 0.0000 0.0000 0.0000  12 In 3.50, 4 Ca 3.66

Summary:
The space-group type is No. 216. The value obtained for the formation energy is 260.1 meV/atom. The total magnetization is 2.68 μB/f.u. The value obtained for the total DFT energy (no corrections) is -3.310 eV/atom.



Record 9
Here is crystalline YbGa4 at its relaxed geometry from the Alexandria database. Energies are from PBE.

Unit cell a=4.3215 b=4.3215 c=6.1148 alpha=70.04 beta=70.04 gamma=89.60
Closest atoms and distances in Å follow each position.
Atoms (fractional coordinates):
Yb 0.0000 0.0000 0.0000  16 Ga 3.18-3.53
Ga 0.4119 0.4119 0.2295  5 Ga 2.48-2.65
Ga 0.5881 0.5881 0.7705  5 Ga 2.48-2.65
Ga 0.2279 0.7721 0.5000  5 Ga 2.58-2.78
Ga 0.7721 0.2279 0.5000  5 Ga 2.58-2.78

Summary:
The space-group type is No. 12. The value obtained for the formation energy is -413.6 meV/atom. The total magnetization is 0.00 μB/f.u. The value obtained for the total DFT energy (no corrections) is -3.140 eV/atom.



Record 10
Here is crystalline HfSc2Ga2 at its relaxed geometry from the Alexandria database. Energies are from PBE.

Unit cell a=4.1804 b=5.4772 c=5.4772 alpha=67.29 beta=67.57 gamma=67.57
Closest atoms and distances in Å follow each position.
Atoms (fractional coordinates):
Hf 0.0000 0.0000 0.0000  4 Ga 2.73
Sc 0.1974 0.3026 0.3026  6 Ga 2.92-3.02, 1 Sc 3.20, 2 Hf 3.22
Sc 0.8026 0.6974 0.6974  6 Ga 2.92-3.02, 1 Sc 3.20, 2 Hf 3.22
Ga 0.5000 0.2905 0.7095  1 Ga 2.54, 2 Hf 2.73
Ga 0.5000 0.7095 0.2905  1 Ga 2.54, 2 Hf 2.73

Summary:
The energy above the most stable polymorph in this dataset is 28 meV per atom. The space-group type is No. 71. The value obtained for the formation energy is -420.0 meV/atom. The total magnetization is 0.00 μB/f.u. The value obtained for the total DFT energy (no corrections) is -6.154 eV/atom.



Record 11
Here is crystalline Pm5Y5Th2 at its relaxed geometry from the Alexandria database. Energies are from PBE.

Unit cell a=5.8837 b=8.6491 c=9.4981 alpha=103.30 beta=71.96 gamma=70.11
Closest atoms and distances in Å follow each position.
Atoms (fractional coordinates):
Pm 0.6586 0.2547 0.4281  5 Y 3.48-3.64, 3 Pm 3.64-3.78, 2 Th 3.67-3.82
Pm 0.0149 0.2464 0.7237  5 Y 3.39-3.64, 3 Th 3.52-3.56, 2 Pm 3.74-3.78
Pm 0.9851 0.7536 0.2763  5 Y 3.39-3.64, 3 Th 3.52-3.56, 2 Pm 3.74-3.78
Pm 0.3414 0.7453 0.5719  5 Y 3.48-3.64, 3 Pm 3.64-3.78, 2 Th 3.67-3.82
Pm 0.0000 0.0000 0.0000  4 Y 3.58, 4 Pm 3.64-3.74, 2 Th 3.75
Y 0.0000 0.5000 0.5000  2 Y 3.33, 6 Pm 3.39-3.48
Y 0.6893 0.7291 0.8922  3 Y 3.33-3.50, 3 Th 3.42, 3 Pm 3.58-3.64
Y 0.3568 0.9840 0.3023  2 Y 3.41-3.50, 6 Pm 3.45-3.64, 1 Th 3.68
Y 0.6432 0.0160 0.6977  2 Y 3.41-3.50, 6 Pm 3.45-3.64, 1 Th 3.68
Y 0.3107 0.2709 0.1078  3 Y 3.33-3.50, 3 Th 3.42, 3 Pm 3.58-3.64
Th 0.3170 0.5041 0.8619  4 Y 3.42-3.68, 6 Pm 3.52-3.82
Th 0.6830 0.4959 0.1381  4 Y 3.42-3.68, 6 Pm 3.52-3.82

Summary:
The space-group type is No. 12. The value obtained for the formation energy is 126.7 meV/atom. The total magnetization is 0.00 μB/f.u. The value obtained for the total DFT energy (no corrections) is -5.783 eV/atom.



Record 12
Here is crystalline Al2BRhF at its relaxed geometry from the Alexandria database. Energies are from PBE.

Unit cell a=4.2247 b=3.5260 c=4.2247 alpha=90.00 beta=90.00 gamma=90.00
Closest atoms and distances in Å follow each position.
Atoms (fractional coordinates):
B 0.0000 0.5000 0.0000  2 F 1.76
Rh 0.5000 0.5000 0.5000  8 Al 2.75, 4 B 2.99
Al 0.0000 0.0000 0.5000  2 F 2.11
Al 0.5000 0.0000 0.0000  2 F 2.11
F 0.0000 0.0000 0.0000  2 B 1.76

Summary:
The space-group type is No. 123. The total magnetization is 0.00 μB/f.u. The value obtained for the total DFT energy (no corrections) is -4.506 eV/atom. The calculation puts the uncorrected formation energy at 0.171 eV per atom.